LaAgRhPb after structural relaxation. Source: the Alexandria database, functional PBE.

Unit cell a=7.144 b=7.144 c=7.144 alpha=90.00 beta=90.00 gamma=90.00
Space group F-43m (No. 216)
Symmetry-distinct sites (fractional):
La1 0.000 0.000 0.000 [4 per cell]
Ag1 0.250 0.250 0.750 [4 per cell]
Rh1 0.250 0.250 0.250 [4 per cell]
Pb1 0.000 0.000 0.500 [4 per cell]

Summary:
VASP energy, eV/atom: -5.02
Formation energy from the elements, eV/atom: -0.312
D(E_F), states/eV per cell: 13.1



MoAsAu2 after structural relaxation. Source: the Alexandria database, functional PBE.

Unit cell a=4.476 b=3.058 c=5.298 alpha=90.00 beta=106.08 gamma=90.00
Space group P2/m (No. 10)
Symmetry-distinct sites (fractional):
Mo1 0.000 0.000 0.000 [1 per cell]
As1 0.500 0.500 0.000 [1 per cell]
Au1 0.000 0.500 0.500 [1 per cell]
Au2 0.500 0.000 0.500 [1 per cell]

Summary:
VASP energy, eV/atom: -5.22
Formation energy from the elements, eV/atom: 0.287
D(E_F), states/eV per cell: 3.0



Ce12ErOs7 after structural relaxation. Source: the Alexandria database, functional PBE.

Unit cell a=14.1508 b=14.1508 c=9.8061 alpha=90.00 beta=90.00 gamma=120.00
Space group R-3 (No. 148, hexagonal axes)
Symmetry-distinct sites (fractional):
Ce1 0.0249 0.4383 0.1612 [18 per cell]
Ce2 0.0448 0.8696 0.8321 [18 per cell]
Er1 0.0000 0.0000 0.5000 [3 per cell]
Os1 0.0000 0.0000 0.0000 [3 per cell]
Os2 0.0375 0.8488 0.3275 [18 per cell]

Summary:
VASP energy, eV/atom: -7.77
Formation energy from the elements, eV/atom: -0.050
D(E_F), states/eV per cell: 153.2



Ba2LaInO after structural relaxation. Source: the Alexandria database, functional PBE.

Unit cell a=5.629 b=5.629 c=4.971 alpha=90.00 beta=90.00 gamma=90.00
Space group P4/mmm (No. 123)
Symmetry-distinct sites (fractional):
Ba1 0.000 0.500 0.000 [2 per cell]
La1 0.000 0.000 0.500 [1 per cell]
In1 0.500 0.500 0.500 [1 per cell]
O1 0.000 0.000 0.000 [1 per cell]

Summary:
VASP energy, eV/atom: -4.50
Uncorrected formation energy, meV per atom: -1208.7
D(E_F), states/eV per cell: 4.2



Nd2Y4Ge3O2 after structural relaxation. Source: the Alexandria database, functional PBE.

Unit cell a=4.580 b=4.580 c=24.200 alpha=90.00 beta=90.00 gamma=90.00
Space group I4/mmm (No. 139)
Symmetry-distinct sites (fractional):
Nd1 0.000 0.000 0.198 [4 per cell]
Y1 0.000 0.500 0.080 [8 per cell]
Ge1 0.000 0.000 0.327 [4 per cell]
Ge2 0.000 0.000 0.500 [2 per cell]
O1 0.000 0.000 0.092 [4 per cell]

Summary:
VASP energy, eV/atom: -6.96
Uncorrected formation energy, meV per atom: -1579.1
D(E_F), states/eV per cell: 16.9



CrGaSe2 after structural relaxation. Source: the Alexandria database, functional PBE.

Unit cell a=5.871 b=5.871 c=11.846 alpha=90.00 beta=90.00 gamma=90.00
Space group I-42d (No. 122)
Symmetry-distinct sites (fractional):
Cr1 0.000 0.000 0.000 [4 per cell]
Ga1 0.000 0.000 0.500 [4 per cell]
Se1 0.247 0.250 0.125 [8 per cell]

Summary:
VASP energy, eV/atom: -5.16
Uncorrected formation energy, meV per atom: -259.2
D(E_F), states/eV per cell: 17.1



LaIn2Co after structural relaxation. Source: the Alexandria database, functional PBE.

Unit cell a=3.331 b=3.331 c=7.917 alpha=90.00 beta=90.00 gamma=90.00
Space group P4/mmm (No. 123)
Symmetry-distinct sites (fractional):
La1 0.000 0.000 0.000 [1 per cell]
In1 0.500 0.500 0.312 [2 per cell]
Co1 0.000 0.000 0.500 [1 per cell]

Summary:
VASP energy, eV/atom: -4.51
Formation energy from the elements, eV/atom: -0.129
D(E_F), states/eV per cell: 3.1



TlHg3F after structural relaxation. Source: the Alexandria database, functional PBE.

Unit cell a=5.945 b=5.945 c=5.945 alpha=90.00 beta=90.00 gamma=90.00
Space group Pm-3m (No. 221)
Symmetry-distinct sites (fractional):
Tl1 0.000 0.000 0.000 [1 per cell]
Hg1 0.000 0.000 0.500 [3 per cell]
F1 0.500 0.500 0.500 [1 per cell]

Summary:
VASP energy, eV/atom: -1.16
Uncorrected formation energy, meV per atom: -135.5
Polymorph energy (0 for the lowest one), eV per atom: 0.172
D(E_F), states/eV per cell: 0.2



LiDySc2Rh4 after structural relaxation. Source: the Alexandria database, functional PBE.

Unit cell a=4.5390 b=4.5390 c=22.4983 alpha=90.00 beta=90.00 gamma=120.00
Space group R-3m (No. 166, hexagonal axes)
Symmetry-distinct sites (fractional):
Li1 0.0000 0.0000 0.0000 [3 per cell]
Dy1 0.0000 0.0000 0.5000 [3 per cell]
Sc1 0.0000 0.0000 0.2586 [6 per cell]
Rh1 0.0000 0.0000 0.1213 [6 per cell]
Rh2 0.0000 0.0000 0.3745 [6 per cell]

Summary:
VASP energy, eV/atom: -6.85
Formation energy from the elements, eV/atom: -0.780
D(E_F), states/eV per cell: 8.7



Cd2TeOs after structural relaxation. Source: the Alexandria database, functional PBE.

Unit cell a=3.118 b=4.356 c=13.343 alpha=90.00 beta=90.00 gamma=90.00
Space group Immm (No. 71)
Symmetry-distinct sites (fractional):
Cd1 0.000 0.000 0.189 [4 per cell]
Te1 0.000 0.500 0.000 [2 per cell]
Os1 0.000 0.500 0.500 [2 per cell]

Summary:
VASP energy, eV/atom: -3.53
Uncorrected formation energy, meV per atom: 521.5
D(E_F), states/eV per cell: 6.1



NdHoCu10 after structural relaxation. Source: the Alexandria database, functional PBE.

Unit cell a=4.110 b=5.084 c=8.739 alpha=90.00 beta=90.00 gamma=90.00
Space group Pmmm (No. 47)
Symmetry-distinct sites (fractional):
Nd1 0.000 0.000 0.000 [1 per cell]
Ho1 0.000 0.500 0.500 [1 per cell]
Cu1 0.000 0.000 0.338 [2 per cell]
Cu2 0.000 0.500 0.171 [2 per cell]
Cu3 0.500 0.000 0.500 [1 per cell]
Cu4 0.500 0.253 0.254 [4 per cell]
Cu5 0.500 0.500 0.000 [1 per cell]

Summary:
VASP energy, eV/atom: -4.37
Formation energy from the elements, eV/atom: -0.179
D(E_F), states/eV per cell: 7.0



AcCe2Sc after structural relaxation. Source: the Alexandria database, functional PBE.

Unit cell a=3.4505 b=3.4505 c=36.9814 alpha=90.00 beta=90.00 gamma=120.00
Space group R-3m (No. 166, hexagonal axes)
Symmetry-distinct sites (fractional):
Ac1 0.0000 0.0000 0.0000 [3 per cell]
Ce1 0.0000 0.0000 0.0926 [6 per cell]
Sc1 0.0000 0.0000 0.5000 [3 per cell]

Summary:
VASP energy, eV/atom: -5.26
Formation energy from the elements, eV/atom: 0.313
Polymorph energy (0 for the lowest one), eV per atom: 0.146
D(E_F), states/eV per cell: 35.1



AcRh4Pb6 after structural relaxation. Source: the Alexandria database, functional PBE.

Unit cell a=7.274 b=7.274 c=10.134 alpha=90.00 beta=90.00 gamma=90.00
Space group I-42m (No. 121)
Symmetry-distinct sites (fractional):
Ac1 0.000 0.000 0.000 [2 per cell]
Rh1 0.180 0.180 0.426 [8 per cell]
Pb1 0.000 0.500 0.000 [4 per cell]
Pb2 0.172 0.172 0.702 [8 per cell]

Summary:
VASP energy, eV/atom: -5.33
Formation energy from the elements, eV/atom: -0.257
D(E_F), states/eV per cell: 9.4



Mo2AsRh after structural relaxation. Source: the Alexandria database, functional PBE.

Unit cell a=5.069 b=8.392 c=2.871 alpha=90.00 beta=90.00 gamma=90.00
Space group Cmmm (No. 65)
Symmetry-distinct sites (fractional):
Mo1 0.250 0.250 0.000 [4 per cell]
As1 0.000 0.000 0.500 [2 per cell]
Rh1 0.000 0.500 0.500 [2 per cell]

Summary:
VASP energy, eV/atom: -8.36
Formation energy from the elements, eV/atom: 0.051
D(E_F), states/eV per cell: 6.9



Ce3MnB2C6 after structural relaxation. Source: the Alexandria database, functional PBE.

Unit cell a=5.3832 b=5.3832 c=6.0147 alpha=90.00 beta=90.00 gamma=120.00
Space group P-3m1 (No. 164)
Symmetry-distinct sites (fractional):
Ce1 0.0000 0.0000 0.0000 [1 per cell]
Ce2 0.3333 0.6667 0.6706 [2 per cell]
Mn1 0.0000 0.0000 0.5000 [1 per cell]
B1 0.3333 0.6667 0.2490 [2 per cell]
C1 0.1720 0.3439 0.3032 [6 per cell]

Summary:
VASP energy, eV/atom: -7.83
Formation energy from the elements, eV/atom: 0.139
D(E_F), states/eV per cell: 8.7



Ac4Ga3Pt after structural relaxation. Source: the Alexandria database, functional PBE.

Unit cell a=4.464 b=4.682 c=11.472 alpha=90.00 beta=90.00 gamma=90.00
Space group Pmm2 (No. 25)
Symmetry-distinct sites (fractional):
Ac1 0.000 0.000 0.000 [1 per cell]
Ac2 0.000 0.500 0.484 [1 per cell]
Ac3 0.500 0.000 0.705 [1 per cell]
Ac4 0.500 0.500 0.208 [1 per cell]
Ga1 0.000 0.500 0.781 [1 per cell]
Ga2 0.500 0.000 0.411 [1 per cell]
Ga3 0.500 0.500 0.918 [1 per cell]
Pt1 0.000 0.000 0.277 [1 per cell]

Summary:
VASP energy, eV/atom: -4.59
Formation energy from the elements, eV/atom: -0.646
D(E_F), states/eV per cell: 8.3



RbTl3O after structural relaxation. Source: the Alexandria database, functional PBE.

Unit cell a=6.544 b=6.544 c=6.544 alpha=90.00 beta=90.00 gamma=90.00
Space group Pm-3m (No. 221)
Symmetry-distinct sites (fractional):
Rb1 0.000 0.000 0.000 [1 per cell]
Tl1 0.000 0.000 0.500 [3 per cell]
O1 0.500 0.500 0.500 [1 per cell]

Summary:
VASP energy, eV/atom: -1.52
Uncorrected formation energy, meV per atom: 1089.1
Polymorph energy (0 for the lowest one), eV per atom: 1.257
D(E_F), states/eV per cell: 4.3



Th2Zn3Cd6 after structural relaxation. Source: the Alexandria database, functional PBE.

Unit cell a=8.2112 b=8.2112 c=4.3149 alpha=90.00 beta=90.00 gamma=120.00
Space group P-62m (No. 189)
Symmetry-distinct sites (fractional):
Th1 0.3333 0.6667 0.0000 [2 per cell]
Zn1 0.0000 0.6100 0.5000 [3 per cell]
Cd1 0.0000 0.2939 0.5000 [3 per cell]
Cd2 0.0000 0.7962 0.0000 [3 per cell]

Summary:
VASP energy, eV/atom: -2.30
Formation energy from the elements, eV/atom: -0.107
D(E_F), states/eV per cell: 6.7



Si3AsC after structural relaxation. Source: the Alexandria database, functional PBE.

Unit cell a=4.132 b=4.132 c=4.132 alpha=90.00 beta=90.00 gamma=90.00
Space group Pm-3m (No. 221)
Symmetry-distinct sites (fractional):
Si1 0.000 0.000 0.500 [3 per cell]
As1 0.500 0.500 0.500 [1 per cell]
C1 0.000 0.000 0.000 [1 per cell]

Summary:
VASP energy, eV/atom: -5.11
Uncorrected formation energy, meV per atom: 919.0
Polymorph energy (0 for the lowest one), eV per atom: 0.000
D(E_F), states/eV per cell: 2.0



La7Ru3O18 after structural relaxation. Source: the Alexandria database, functional PBE.

Unit cell a=9.9147 b=9.9147 c=56.7396 alpha=90.00 beta=90.00 gamma=120.00
Space group R-3c (No. 167, hexagonal axes)
Symmetry-distinct sites (fractional):
La1 0.0000 0.0000 0.1032 [12 per cell]
La2 0.0041 0.2807 0.2172 [36 per cell]
La3 0.0103 0.3745 0.6877 [36 per cell]
Ru1 0.0000 0.0000 0.0000 [6 per cell]
Ru2 0.0000 0.0000 0.1613 [12 per cell]
Ru3 0.0000 0.3302 0.7500 [18 per cell]
O1 0.0016 0.1685 0.9807 [36 per cell]
O2 0.0030 0.2045 0.7777 [36 per cell]
O3 0.0238 0.4828 0.7745 [36 per cell]
O4 0.0651 0.1872 0.8604 [36 per cell]
O5 0.0678 0.1930 0.1783 [36 per cell]
O6 0.0848 0.5220 0.5839 [36 per cell]

Summary:
VASP energy, eV/atom: -7.98
Uncorrected formation energy, meV per atom: -2569.4
D(E_F), states/eV per cell: 18.8